The following is a PBE-GGA calculation of a relaxed CsAs3W crystal, from the Alexandria database.

* DFT total energy: -2.83 eV/atom
* polymorph energy (0 for the lowest one): 2594.1 meV per atom
* total moment: 2.64 μB per formula unit
* DFT formation energy: 2.720 eV/atom
* V: 168.9 Å³ per cell

Cell: 5.5281 5.5281 5.5281 Å, 90.00 90.00 90.00°
Closest atoms and distances in Å follow each position.
Atoms (fractional coordinates):
Cs: 0.0000 0.0000 0.0000  6 As 2.76
As: 0.0000 0.5000 0.0000  2 Cs 2.76
As: 0.0000 0.0000 0.5000  2 Cs 2.76
As: 0.5000 0.0000 0.0000  2 Cs 2.76
W: 0.5000 0.5000 0.5000  12 As 3.91

***

The following is a PBE-GGA calculation of a relaxed Na2PrSbS4 crystal, from the Alexandria database.

* DFT total energy: -4.72 eV/atom
* formation energy from raw total energies: -9.698 eV/f.u.
* total moment: 0.00 μB per formula unit
* V: 194.1 Å³ per cell

Cell: 4.0837 7.0846 7.1090 Å, 109.29 90.00 90.00°
Closest atoms and distances in Å follow each position.
Atoms (fractional coordinates):
Na: 0.5000 0.0000 0.5000  6 S 2.93-2.94
Na: 0.0000 0.5000 0.5000  6 S 2.99-3.01
Pr: 0.5000 0.5000 0.0000  6 S 2.86
Sb: 0.0000 0.0000 0.0000  6 S 2.78-2.80
S: 0.5000 0.2367 0.2313  2 Sb 2.80, 1 Pr 2.86, 3 Na 2.93-2.99
S: 0.5000 0.7633 0.7687  2 Sb 2.80, 1 Pr 2.86, 3 Na 2.93-2.99
S: 0.0000 0.2475 0.7669  1 Sb 2.78, 2 Pr 2.86, 3 Na 2.94-3.01
S: 0.0000 0.7525 0.2331  1 Sb 2.78, 2 Pr 2.86, 3 Na 2.94-3.01

***

The following is a PBE-GGA calculation of a relaxed Pr4Ga2I3 crystal, from the Alexandria database.

* DFT total energy: -3.97 eV/atom
* formation energy from raw total energies: -5.944 eV/f.u.
* polymorph energy (0 for the lowest one): 249.5 meV per atom
* total moment: 0.00 μB per formula unit
* V: 277.1 Å³ per cell

Cell: 4.3080 6.0225 11.4639 Å, 86.40 90.00 110.96°
Closest atoms and distances in Å follow each position.
Atoms (fractional coordinates):
Pr: 0.6633 0.3266 0.1215  3 Ga 3.09-3.44, 3 I 3.21-3.41
Pr: 0.0679 0.1357 0.6573  2 Ga 3.06, 3 I 3.31-3.37
Pr: 0.9321 0.8643 0.3427  2 Ga 3.06, 3 I 3.31-3.37
Pr: 0.3367 0.6734 0.8785  3 Ga 3.09-3.44, 3 I 3.21-3.41
Ga: 0.3473 0.6946 0.1779  4 Pr 3.06-3.09, 2 I 3.36
Ga: 0.6527 0.3054 0.8221  4 Pr 3.06-3.09, 2 I 3.36
I: 0.3565 0.7130 0.5806  6 Pr 3.31-3.53, 1 I 3.61
I: 0.0000 0.0000 0.0000  4 Pr 3.21, 4 Ga 3.36
I: 0.6435 0.2870 0.4194  6 Pr 3.31-3.53, 1 I 3.61

***

The following is a PBE-GGA calculation of a relaxed Y3TlGa2 crystal, from the Alexandria database.

* DFT total energy: -5.16 eV/atom
* total moment: 0.00 μB per formula unit
* DFT formation energy: -0.525 eV/atom
* V: 147.0 Å³ per cell

Cell: 3.6193 3.6193 11.2238 Å, 90.00 90.00 90.00°
Closest atoms and distances in Å follow each position.
Atoms (fractional coordinates):
Y: 0.0000 0.0000 0.0000  8 Ga 3.12
Y: 0.0000 0.0000 0.6836  4 Ga 3.11, 4 Tl 3.29
Y: 0.0000 0.0000 0.3164  4 Ga 3.11, 4 Tl 3.29
Tl: 0.5000 0.5000 0.5000  8 Y 3.29, 4 Tl 3.62
Ga: 0.5000 0.5000 0.8411  8 Y 3.11-3.12
Ga: 0.5000 0.5000 0.1589  8 Y 3.11-3.12

***

The following is a PBE-GGA calculation of a relaxed Mg2CdCuSe crystal, from the Alexandria database.

* DFT total energy: -2.26 eV/atom
* formation energy from raw total energies: 0.394 eV/f.u.
* total moment: 0.00 μB per formula unit
* V: 121.0 Å³ per cell

Cell: 5.0458 4.7525 5.0458 Å, 90.00 90.00 90.00°
Closest atoms and distances in Å follow each position.
Atoms (fractional coordinates):
Mg: 0.0000 0.0000 0.5000  2 Cu 2.52
Mg: 0.5000 0.0000 0.0000  2 Cu 2.52
Cu: 0.0000 0.0000 0.0000  2 Se 2.38, 4 Mg 2.52
Se: 0.0000 0.5000 0.0000  2 Cu 2.38
Cd: 0.5000 0.5000 0.5000  8 Mg 3.47, 4 Se 3.57

***

The following is a PBE-GGA calculation of a relaxed NbTl3H crystal, from the Alexandria database.

* DFT total energy: -3.08 eV/atom
* total moment: 1.92 μB per formula unit
* V: 171.4 Å³ per cell

Cell: 5.5545 5.5545 5.5545 Å, 90.00 90.00 90.00°
Closest atoms and distances in Å follow each position.
Atoms (fractional coordinates):
H: 0.5000 0.5000 0.5000  12 Tl 3.93
Tl: 0.0000 0.5000 0.0000  2 Nb 2.78
Tl: 0.0000 0.0000 0.5000  2 Nb 2.78
Tl: 0.5000 0.0000 0.0000  2 Nb 2.78
Nb: 0.0000 0.0000 0.0000  6 Tl 2.78

***

The following is a PBE-GGA calculation of a relaxed In2GaS crystal, from the Alexandria database.

* DFT total energy: -3.07 eV/atom
* formation energy from raw total energies: 0.345 eV/f.u.
* polymorph energy (0 for the lowest one): 196.2 meV per atom
* total moment: 0.00 μB per formula unit
* V: 94.1 Å³ per cell

Cell: 5.1046 5.1046 5.1046 Å, 60.00 60.00 60.00°
Closest atoms and distances in Å follow each position.
Atoms (fractional coordinates):
S: 0.0000 0.0000 0.0000  8 In 3.13
Ga: 0.5000 0.5000 0.5000  8 In 3.13
In: 0.2500 0.2500 0.2500  4 S 3.13, 4 Ga 3.13
In: 0.7500 0.7500 0.7500  4 S 3.13, 4 Ga 3.13

***

The following is a PBE-GGA calculation of a relaxed V2GaPPb crystal, from the Alexandria database.

* DFT total energy: -5.53 eV/atom
* total moment: 4.08 μB per formula unit
* DFT formation energy: 0.545 eV/atom
* V: 113.5 Å³ per cell

Cell: 4.5461 5.4918 4.5461 Å, 90.00 90.00 90.00°
Closest atoms and distances in Å follow each position.
Atoms (fractional coordinates):
Pb: 0.0000 0.5000 0.0000  2 P 2.75
P: 0.0000 0.0000 0.0000  4 V 2.27
Ga: 0.5000 0.5000 0.5000  4 Pb 3.21, 8 V 3.56
V: 0.0000 0.0000 0.5000  2 P 2.27
V: 0.5000 0.0000 0.0000  2 P 2.27

***

The following is a PBE-GGA calculation of a relaxed Sm2YInO crystal, from the Alexandria database.

* DFT total energy: -6.14 eV/atom
* formation energy from raw total energies: -7.119 eV/f.u.
* total moment: 0.00 μB per formula unit
* V: 115.8 Å³ per cell

Cell: 4.7904 4.9161 4.9161 Å, 90.00 90.00 90.00°
Closest atoms and distances in Å follow each position.
Atoms (fractional coordinates):
Sm: 0.0000 0.0000 0.5000  2 O 2.46
Sm: 0.0000 0.5000 0.0000  2 O 2.46
Y: 0.5000 0.0000 0.0000  2 O 2.40
In: 0.5000 0.5000 0.5000  8 Sm 3.43, 4 Y 3.48
O: 0.0000 0.0000 0.0000  2 Y 2.40, 4 Sm 2.46

***

The following is a PBE-GGA calculation of a relaxed Sm4DyTl2 crystal, from the Alexandria database.

* DFT total energy: -3.99 eV/atom
* polymorph energy (0 for the lowest one): 0.0 meV per atom
* total moment: 0.00 μB per formula unit
* DFT formation energy: 0.042 eV/atom
* V: 239.1 Å³ per cell

Cell: 5.5585 5.5585 9.4950 Å, 72.98 72.98 60.00°
Closest atoms and distances in Å follow each position.
Atoms (fractional coordinates):
Sm: 0.7336 0.7336 0.7993  4 Tl 3.16-3.24
Sm: 0.8692 0.8692 0.3925  3 Dy 3.35, 7 Sm 3.63-3.74
Sm: 0.2664 0.2664 0.2007  4 Tl 3.16-3.24
Sm: 0.1308 0.1308 0.6075  3 Dy 3.35, 7 Sm 3.63-3.74
Dy: 0.5000 0.5000 0.5000  2 Tl 3.10, 6 Sm 3.35
Tl: 0.6155 0.6155 0.1534  1 Dy 3.10, 4 Sm 3.16-3.24
Tl: 0.3845 0.3845 0.8466  1 Dy 3.10, 4 Sm 3.16-3.24

***

The following is a PBE-GGA calculation of a relaxed SrY3B4O12 crystal, from the Alexandria database.

* DFT total energy: -8.28 eV/atom
* formation energy from raw total energies: -58.327 eV/f.u.
* total moment: 1.06 μB per formula unit
* V: 266.1 Å³ per cell

Cell: 6.6078 6.6078 6.6078 Å, 102.07 102.07 102.07°
Closest atoms and distances in Å follow each position.
Atoms (fractional coordinates):
Sr: 0.0000 0.0000 0.0000  6 O 2.61
Y: 0.5398 0.4602 0.0000  6 O 2.24-2.31
Y: 0.4602 0.0000 0.5398  6 O 2.24-2.31
Y: 0.0000 0.5398 0.4602  6 O 2.24-2.31
B: 0.9585 0.0415 0.5000  3 O 1.38-1.39
B: 0.0415 0.5000 0.9585  3 O 1.38-1.39
B: 0.5000 0.9585 0.0415  3 O 1.38-1.39
B: 0.5000 0.5000 0.5000  3 O 1.39
O: 0.5000 0.3651 0.6349  1 B 1.39
O: 0.9063 0.5000 0.0937  1 B 1.39
O: 0.0937 0.9063 0.5000  1 B 1.39
O: 0.5000 0.0937 0.9063  1 B 1.39
O: 0.3799 0.9763 0.1881  1 B 1.38
O: 0.1881 0.3799 0.9763  1 B 1.38
O: 0.9763 0.1881 0.3799  1 B 1.38
O: 0.6201 0.8119 0.0237  1 B 1.38
O: 0.0237 0.6201 0.8119  1 B 1.38
O: 0.8119 0.0237 0.6201  1 B 1.38
O: 0.6349 0.5000 0.3651  1 B 1.39
O: 0.3651 0.6349 0.5000  1 B 1.39

***

The following is a PBE-GGA calculation of a relaxed Ac6In2Pt crystal, from the Alexandria database.

* DFT total energy: -4.36 eV/atom
* polymorph energy (0 for the lowest one): 65.1 meV per atom
* total moment: 0.00 μB per formula unit
* DFT formation energy: -0.342 eV/atom
* V: 670.2 Å³ per cell

Cell: 9.5546 9.5546 9.5546 Å, 73.36 69.46 111.27°
Closest atoms and distances in Å follow each position.
Atoms (fractional coordinates):
Ac: 0.1638 0.7657 0.0705  1 Pt 3.21, 1 In 3.43, 1 Ac 3.57
Ac: 0.8362 0.2343 0.9295  1 Pt 3.21, 1 In 3.43, 1 Ac 3.57
Ac: 0.1638 0.2343 0.6020  1 Pt 3.21, 1 In 3.43, 1 Ac 3.57
Ac: 0.8362 0.7657 0.3980  1 Pt 3.21, 1 In 3.43, 1 Ac 3.57
Ac: 0.4634 0.2789 0.8155  1 Pt 3.12
Ac: 0.5366 0.7211 0.1845  1 Pt 3.12
Ac: 0.0944 0.2789 0.1845  1 Pt 3.12
Ac: 0.9056 0.7211 0.8155  1 Pt 3.12
Ac: 0.3325 0.0523 0.2802  3 In 3.33-3.44, 1 Ac 3.61, 1 Pt 3.67
Ac: 0.6675 0.9477 0.7198  3 In 3.33-3.44, 1 Ac 3.61, 1 Pt 3.67
Ac: 0.3325 0.6127 0.7198  3 In 3.33-3.44, 1 Ac 3.61, 1 Pt 3.67
Ac: 0.6675 0.3873 0.2802  3 In 3.33-3.44, 1 Ac 3.61, 1 Pt 3.67
In: 0.1302 0.6302 0.5000  1 In 2.81
In: 0.8698 0.3698 0.5000  1 In 2.81
In: 0.3614 0.0000 0.6386  1 In 3.02
In: 0.6386 0.0000 0.3614  1 In 3.02
Pt: 0.5000 0.5000 0.0000  4 Ac 3.12
Pt: 0.0000 0.0000 0.0000  4 Ac 3.21